{
  "formula": "VW2O6",
  "functional": "PBE with a Hubbard U",
  "state": "relaxed",
  "energy_ev_per_atom": -7.687,
  "cell": [[4.6538, 0.0000, 0.0000], [0.0000, 7.7067, -4.4494], [0.0000, 0.0000, 8.8989]],
  "species": ["V", "V", "V", "W", "W", "W", "W", "W", "W", "O", "O", "O", "O", "O", "O", "O", "O", "O", "O", "O", "O", "O", "O", "O", "O", "O", "O"],
  "frac_coords": [[0.4888, 0.3333, 0.6667], [0.0000, 0.0000, 0.0000], [0.5112, 0.6667, 0.3333], [0.0000, 0.6513, 0.6513], [0.5000, 0.3155, 0.3155], [0.0000, 0.0000, 0.3487], [0.5000, 0.6845, 0.0000], [0.5000, 0.0000, 0.6845], [0.0000, 0.3487, 0.0000], [0.2433, 0.7802, 0.8954], [0.7170, 0.5625, 0.7841], [0.2679, 0.4238, 0.5318], [0.2679, 0.4682, 0.8920], [0.7170, 0.2215, 0.4375], [0.2433, 0.1152, 0.2198], [0.7170, 0.2159, 0.7785], [0.7567, 0.8848, 0.1046], [0.2679, 0.1080, 0.5762], [0.2433, 0.1046, 0.8848], [0.2830, 0.7785, 0.2159], [0.7321, 0.8920, 0.4682], [0.7321, 0.5762, 0.1080], [0.2830, 0.7841, 0.5625], [0.7567, 0.8954, 0.7802], [0.2830, 0.4375, 0.2215], [0.7321, 0.5318, 0.4238], [0.7567, 0.2198, 0.1152]]
}